No. 1
# CrTe2C | Alexandria | PBE | optimized geometry
data_CrTe2C
_cell_length_a 3.7216
_cell_length_b 3.7216
_cell_length_c 21.0382
_cell_angle_alpha 90.00
_cell_angle_beta 90.00
_cell_angle_gamma 120.00
_symmetry_space_group_name_H-M 'R -3 m'
_symmetry_Int_Tables_number 166
_symmetry_space_group_name_Hall '-R 3 2"'
loop_
_atom_site_label
_atom_site_type_symbol
_atom_site_fract_x
_atom_site_fract_y
_atom_site_fract_z
_atom_site_occupancy
Cr1 Cr 0.0000 0.0000 0.0000 1
Te1 Te 0.0000 0.0000 0.4072 1
C1 C 0.0000 0.0000 0.5000 1
# formation energy from raw total energies: 1.339 eV per atom
# total moment: 0.00 Bohr magnetons per cell

---

No. 2
# PmY2Hg8 | Alexandria | PBE | optimized geometry
data_PmY2Hg8
_cell_length_a 5.103
_cell_length_b 7.502
_cell_length_c 14.584
_cell_angle_alpha 90.00
_cell_angle_beta 90.00
_cell_angle_gamma 90.00
_symmetry_space_group_name_H-M 'I m m m'
_symmetry_Int_Tables_number 71
_symmetry_space_group_name_Hall '-I 2 2'
loop_
_atom_site_label
_atom_site_type_symbol
_atom_site_fract_x
_atom_site_fract_y
_atom_site_fract_z
_atom_site_occupancy
Pm1 Pm 0.000 0.000 0.000 1
Y1 Y 0.000 0.000 0.306 1
Hg1 Hg 0.000 0.206 0.500 1
Hg2 Hg 0.000 0.290 0.148 1
Hg3 Hg 0.000 0.500 0.343 1
# total moment: 0.00 Bohr magnetons per cell
# ΔE_f: -321 meV per atom